No. 1
Entry from OQMD via LeMat-Bulk: Rb2ZrAg2Se2S2 after structural relaxation (GGA-PBE).

```
Rb2ZrAg2Se2S2
1.0
-4.8747 2.8026 -2.6797
-2.9337 -5.4636 -0.3776
-0.4156 -0.3024 7.6049
Ag Rb S Se Zr
2 2 2 2 1
Cartesian
-2.4717 1.3373 -1.3443 Ag
-1.4617 -2.7222 -0.1881 Ag
-3.4106 -0.1754 2.3641 Rb
-2.3784 -4.1937 3.5231 Rb
-5.0290 1.1666 -0.8654 S
-1.5846 -1.1310 5.6203 S
-4.0178 -3.2973 0.4681 Se
-5.7756 -2.5891 3.8775 Se
-0.0091 -0.0170 -0.0012 Zr
```



No. 2
Entry from OQMD via LeMat-Bulk: La2HoIn3AgPt2 after structural relaxation (GGA-PBE).

```
La2HoIn3AgPt2
1.0
-2.5498 -2.4635 -1.8529
6.0195 -4.6115 -2.1523
-3.7118 -1.2967 6.8317
Ag Ho In La Pt
1 1 3 2 2
Cartesian
0.0067 -0.0172 0.0137 Ag
0.9560 -2.4476 1.9386 Ho
0.2696 -2.4411 -1.4439 In
-2.2036 -1.5987 0.8395 In
0.4229 -5.5786 2.5163 In
3.8483 -5.3687 1.8420 La
-0.1920 -3.9924 5.5722 La
1.4495 -4.7101 -0.0509 Pt
-1.7013 -3.6369 2.8579 Pt
```



Number 1: calculated volume 269.78 Å³/f.u., VASP energy -4.4926 eV/atom. Number 2: calculated volume 215.25 Å³/f.u., VASP energy -4.9913 eV/atom.